No. 1
Here is a geometry-optimized TmZnAu structure from Alexandria via LeMat-Bulk. Energies are from PBE.

```
data_TmZnAu
_chemical_formula_sum 'Tm1 Zn1 Au1'
_symmetry_space_group_name_H-M 'P 1'
_symmetry_Int_Tables_number 1
_cell_length_a 4.626
_cell_length_b 4.626
_cell_length_c 4.626
_cell_angle_alpha 60.00
_cell_angle_beta 60.00
_cell_angle_gamma 60.00
loop_
_symmetry_equiv_pos_as_xyz
'x,y,z'
loop_
_atom_site_label
_atom_site_type_symbol
_atom_site_fract_x
_atom_site_fract_y
_atom_site_fract_z
Tm1 Tm 0.000 0.000 0.000
Zn1 Zn 0.500 0.500 0.500
Au1 Au 0.750 0.750 0.750
```

Summary:
Total energy, eV for the cell shown: -10.52
Crystal system: cubic



No. 2
Here is a geometry-optimized LiCu2Ir structure from Alexandria via LeMat-Bulk. Energies are from PBE.

```
data_LiCu2Ir
_chemical_formula_sum 'Li1 Cu2 Ir1'
_symmetry_space_group_name_H-M 'P 1'
_symmetry_Int_Tables_number 1
_cell_length_a 4.138
_cell_length_b 4.138
_cell_length_c 4.138
_cell_angle_alpha 60.00
_cell_angle_beta 60.00
_cell_angle_gamma 60.00
loop_
_symmetry_equiv_pos_as_xyz
'x,y,z'
loop_
_atom_site_label
_atom_site_type_symbol
_atom_site_fract_x
_atom_site_fract_y
_atom_site_fract_z
Li1 Li 0.000 0.000 0.000
Cu1 Cu 0.500 0.500 0.500
Cu2 Cu 0.750 0.750 0.750
Ir1 Ir 0.250 0.250 0.250
```

Summary:
Crystal system: cubic
Energy above the lowest structure with this stoichiometry, eV per atom: 0.215



No. 3
Here is a geometry-optimized Pa2AlRh6 structure from Alexandria via LeMat-Bulk. Energies are from PBE.

```
data_Pa2AlRh6
_chemical_formula_sum 'Pa4 Al2 Rh12'
_symmetry_space_group_name_H-M 'P 1'
_symmetry_Int_Tables_number 1
_cell_length_a 5.281
_cell_length_b 5.281
_cell_length_c 12.846
_cell_angle_alpha 90.00
_cell_angle_beta 90.00
_cell_angle_gamma 90.00
loop_
_symmetry_equiv_pos_as_xyz
'x,y,z'
loop_
_atom_site_label
_atom_site_type_symbol
_atom_site_fract_x
_atom_site_fract_y
_atom_site_fract_z
Pa1 Pa 0.000 0.000 0.240
Pa2 Pa 0.000 0.000 0.760
Pa3 Pa 0.500 0.500 0.260
Pa4 Pa 0.500 0.500 0.740
Al1 Al 0.000 0.000 0.000
Al2 Al 0.500 0.500 0.500
Rh1 Rh 0.197 0.197 0.500
Rh2 Rh 0.233 0.767 0.385
Rh3 Rh 0.233 0.767 0.615
Rh4 Rh 0.267 0.267 0.115
Rh5 Rh 0.267 0.267 0.885
Rh6 Rh 0.303 0.697 0.000
Rh7 Rh 0.697 0.303 0.000
Rh8 Rh 0.733 0.733 0.115
Rh9 Rh 0.733 0.733 0.885
Rh10 Rh 0.767 0.233 0.385
Rh11 Rh 0.767 0.233 0.615
Rh12 Rh 0.803 0.803 0.500
```

Summary:
Total energy, eV for the cell shown: -136.11
Crystal system: tetragonal



No. 4
Here is a geometry-optimized MnReAg2 structure from Alexandria via LeMat-Bulk. Energies are from PBE.

```
data_MnReAg2
_chemical_formula_sum 'Mn1 Re1 Ag2'
_symmetry_space_group_name_H-M 'P 1'
_symmetry_Int_Tables_number 1
_cell_length_a 5.109
_cell_length_b 5.109
_cell_length_c 5.109
_cell_angle_alpha 136.05
_cell_angle_beta 136.05
_cell_angle_gamma 63.91
loop_
_symmetry_equiv_pos_as_xyz
'x,y,z'
loop_
_atom_site_label
_atom_site_type_symbol
_atom_site_fract_x
_atom_site_fract_y
_atom_site_fract_z
Mn1 Mn 0.000 0.000 0.000
Re1 Re 0.500 0.500 0.000
Ag1 Ag 0.250 0.750 0.500
Ag2 Ag 0.750 0.250 0.500
```

Summary:
Crystal system: tetragonal
Energy above the lowest structure with this stoichiometry, eV per atom: 0.369



No. 5
Here is a geometry-optimized KSr2BiO5 structure from Alexandria via LeMat-Bulk. Energies are from PBE.

```
data_KSr2BiO5
_chemical_formula_sum 'K1 Sr2 Bi1 O5'
_symmetry_space_group_name_H-M 'P 1'
_symmetry_Int_Tables_number 1
_cell_length_a 7.014
_cell_length_b 7.014
_cell_length_c 7.014
_cell_angle_alpha 144.43
_cell_angle_beta 126.43
_cell_angle_gamma 65.97
loop_
_symmetry_equiv_pos_as_xyz
'x,y,z'
loop_
_atom_site_label
_atom_site_type_symbol
_atom_site_fract_x
_atom_site_fract_y
_atom_site_fract_z
K1 K 0.000 0.000 0.000
Sr1 Sr 0.279 0.779 0.500
Sr2 Sr 0.721 0.221 0.500
Bi1 Bi 0.500 0.500 0.000
O1 O 0.140 0.364 0.776
O2 O 0.412 0.636 0.776
O3 O 0.500 0.000 0.500
O4 O 0.588 0.364 0.224
O5 O 0.860 0.636 0.224
```

Summary:
Crystal system: orthorhombic
Formation energy from raw total energies, meV/atom: -1917



No. 6
Here is a geometry-optimized ScZn8Cu4 structure from Alexandria via LeMat-Bulk. Energies are from PBE.

```
data_ScZn8Cu4
_chemical_formula_sum 'Sc1 Zn8 Cu4'
_symmetry_space_group_name_H-M 'P 1'
_symmetry_Int_Tables_number 1
_cell_length_a 6.636
_cell_length_b 6.636
_cell_length_c 6.636
_cell_angle_alpha 98.00
_cell_angle_beta 98.00
_cell_angle_gamma 136.18
loop_
_symmetry_equiv_pos_as_xyz
'x,y,z'
loop_
_atom_site_label
_atom_site_type_symbol
_atom_site_fract_x
_atom_site_fract_y
_atom_site_fract_z
Sc1 Sc 0.000 0.000 0.000
Zn1 Zn 0.000 0.344 0.344
Zn2 Zn 0.000 0.656 0.656
Zn3 Zn 0.286 0.500 0.786
Zn4 Zn 0.344 0.000 0.344
Zn5 Zn 0.500 0.286 0.786
Zn6 Zn 0.500 0.714 0.214
Zn7 Zn 0.656 0.000 0.656
Zn8 Zn 0.714 0.500 0.214
Cu1 Cu 0.000 0.000 0.500
Cu2 Cu 0.000 0.500 0.000
Cu3 Cu 0.500 0.000 0.000
Cu4 Cu 0.500 0.500 0.500
```

Summary:
Total energy, eV for the cell shown: -35.20
Crystal system: tetragonal